[1]
## RbPbIO2 (GGA-PBEsol)

Data for crystalline RbPbIO2 at its relaxed geometry.

Computed properties:
* formation energy from raw total energies: -574 meV/atom

Cell lengths 4.507, 4.507, 6.146 Å; angles 90.00, 90.00, 90.00 degrees
Site moments in Bohr magnetons follow the coordinates.
Fractional coordinates of all 5 atoms:
Pb 0.000 0.000 0.000  -0.01
O 0.500 0.000 0.000  0.18
O 0.000 0.500 0.000  0.18
I 0.000 0.000 0.500  0.00
Rb 0.500 0.500 0.500  0.00


[2]
## KEuPSe4 (GGA-PBEsol)

Data for crystalline KEuPSe4 at its relaxed geometry.

Computed properties:
* formation energy from raw total energies: -966 meV/atom

Cell lengths 6.688, 6.817, 9.070 Å; angles 90.00, 108.05, 90.00 degrees
Site moments in Bohr magnetons follow the coordinates.
Fractional coordinates of all 14 atoms:
P 0.301 0.750 0.692  0.01
P 0.699 0.250 0.308  0.01
K 0.239 0.250 0.933  0.00
K 0.761 0.750 0.067  0.00
Eu 0.272 0.250 0.453  6.76
Eu 0.728 0.750 0.547  6.76
Se 0.903 0.250 0.158  0.00
Se 0.879 0.250 0.559  -0.02
Se 0.486 0.991 0.264  -0.01
Se 0.486 0.509 0.264  -0.01
Se 0.097 0.750 0.842  0.00
Se 0.514 0.491 0.736  -0.01
Se 0.121 0.750 0.441  -0.02
Se 0.514 0.009 0.736  -0.01


[3]
## Sr2YCd (GGA-PBEsol)

Data for crystalline Sr2YCd at its relaxed geometry.

Computed properties:
* DFT total energy: -2.904 eV per atom

Cell lengths 4.143, 4.143, 8.092 Å; angles 90.00, 90.00, 90.00 degrees
Fractional coordinates of all 4 atoms:
Cd 0.500 0.500 0.500
Sr 0.000 0.000 0.726
Sr 0.000 0.000 0.274
Y 0.500 0.500 0.000